Below is a relaxed Pm12DyTh5 crystal, with properties calculated at the PBE level.

```
Pm12DyTh5
1.0
5.443 3.136 0.184
-5.443 3.136 0.184
0.000 1.047 17.791
Pm Dy Th
12 1 5
Cartesian
0.000 1.402 11.837
0.000 5.917 6.323
0.000 1.945 2.986
0.000 5.374 15.174
-1.831 5.053 3.167
-1.831 2.266 14.994
1.831 5.053 3.167
1.831 2.266 14.994
1.817 2.782 6.167
-1.817 2.782 6.167
1.817 4.538 11.993
-1.817 4.538 11.993
0.000 0.000 0.000
0.000 3.660 9.080
3.634 3.660 9.080
-3.634 3.660 9.080
-1.814 3.136 0.184
1.814 3.136 0.184
```

- final energy (eV/cell) = -98.27
- SG = C2/m (12)
- ΔH_f (0 K) (meV/atom) = 24
- crystal system = monoclinic


Below is a relaxed Cs4Tm3ScTe8 crystal, with properties calculated at the PBE level.

```
Cs4Tm3ScTe8
1.0
-7.580 1.635 4.481
4.787 -2.089 8.859
3.711 6.423 -5.017
Cs Tm Sc Te
4 3 1 8
Cartesian
-3.790 0.818 2.241
-1.935 4.029 -0.268
0.000 0.000 0.000
1.855 3.211 -2.508
-1.397 -0.227 6.670
0.459 2.984 4.162
4.249 2.167 1.921
2.394 -1.045 4.430
5.138 5.104 2.255
3.242 1.821 4.819
1.448 3.266 1.258
1.264 5.939 4.545
-0.347 0.029 3.779
-0.531 2.703 7.066
-2.324 4.148 3.505
-4.221 0.865 6.069
```

- ΔE_f (raw) (eV/atom) = -1.32
- final energy (eV/cell) = -69.48
- SG = R-3m (166)
- crystal system = trigonal


Below is a relaxed In2SbSe crystal, with properties calculated at the PBE level.

```
In2SbSe
1.0
-3.586 -3.538 4.221
5.097 -0.223 4.143
-1.371 3.762 7.103
Sb Se In
2 2 4
Cartesian
0.000 0.000 0.000
-2.101 -0.828 7.753
0.755 -1.880 4.182
2.241 0.829 7.714
-1.910 -1.262 4.888
2.357 0.322 4.937
-0.409 1.408 8.507
0.240 -0.467 12.603
```

- ΔE_f (raw) (eV/atom) = -0.18
- final energy (eV/cell) = -27.62
- relative energy among the computed polymorphs (eV/atom) = 0.063
- SG = I-42d (122)
- crystal system = tetragonal


Below is a relaxed TaNbVPt crystal, with properties calculated at the PBE level.

```
TaNbVPt
1.0
4.513 0.000 0.000
2.256 3.908 0.000
2.256 1.303 3.685
Nb V Pt Ta
1 1 1 1
Cartesian
0.000 0.000 0.000
6.769 3.908 2.764
4.513 2.606 1.842
2.256 1.303 0.921
```

- final energy (eV/cell) = -38.10
- SG = F-43m (216)
- ΔH_f (0 K) (meV/atom) = -254
- crystal system = cubic